4
Lattice="-0.227 -3.263 -0.422 3.799 -0.502 1.831 -3.196 1.072 6.319" Properties=species:S:1:pos:R:3 comment="ZrOsBr2 | the Alexandria database | GGA-PBEsol | relaxed" total_energy_ev_per_cell=-26.076 vol_a3_per_atom=24.39 space_group="C2/m (12)" pbc="T T T"
Os 1.900 -0.251 0.915
Br -0.179 -0.283 2.283
Br 0.555 -2.409 5.444
Zr -0.114 -1.631 -0.211

---

10
Lattice="-2.096 0.080 -3.518 0.226 -6.270 -0.276 -5.390 -0.335 3.204" Properties=species:S:1:pos:R:3 comment="Sc2CuSi2 | the Alexandria database | GGA-PBEsol | relaxed" total_energy_ev_per_cell=-65.385 vol_a3_per_atom=16.15 space_group="P4/mbm (127)" pbc="T T T"
Sc -4.625 -1.255 0.343
Sc -5.367 -4.443 0.713
Sc -2.636 -5.270 -0.933
Sc -1.894 -2.082 -1.303
Si -4.585 -2.584 2.674
Si -3.223 -5.642 1.793
Si -0.580 -4.020 0.254
Si -1.942 -0.963 1.136
Cu 0.000 0.000 0.000
Cu -2.582 -3.302 1.464

---

4
Lattice="3.073 0.000 0.000 0.000 5.397 -0.009 0.000 -1.856 5.068" Properties=species:S:1:pos:R:3 comment="YSc2W | the Alexandria database | GGA-PBEsol | relaxed" total_energy_ev_per_cell=-32.261 vol_a3_per_atom=21.01 delta_e_f_ev_per_atom=0.395 space_group="Cmmm (65)" pbc="T T T"
Sc 0.000 2.699 -0.004
Sc 0.000 -0.928 2.534
W 1.537 0.000 0.000
Y 1.537 1.771 2.530

---

32
Lattice="6.012 0.003 0.000 -2.010 5.666 0.000 0.000 0.000 9.811" Properties=species:S:1:pos:R:3 comment="LiCuNi6 | the Alexandria database | GGA-PBEsol | relaxed" total_energy_ev_per_cell=-171.495 vol_a3_per_atom=10.44 delta_e_f_ev_per_atom=0.047 space_group="Cmmm (65)" pbc="T T T"
Cu 0.011 4.239 4.906
Cu 3.991 1.430 4.906
Cu 0.000 0.000 7.371
Cu 0.000 0.000 2.440
Li -0.008 4.253 0.000
Li 4.010 1.416 0.000
Li 2.001 2.834 7.366
Li 2.001 2.834 2.445
Ni -0.005 4.251 7.365
Ni 4.002 3.541 8.590
Ni 0.000 2.127 8.590
Ni 4.007 1.418 7.365
Ni 2.005 0.712 8.590
Ni 1.997 4.957 8.590
Ni 2.001 2.834 4.906
Ni -0.003 2.124 6.137
Ni 2.002 0.708 6.137
Ni -0.005 4.251 2.446
Ni 4.005 3.545 3.674
Ni -0.003 2.124 3.674
Ni 4.007 1.418 2.446
Ni 2.002 0.708 3.674
Ni 2.000 4.961 3.674
Ni 2.001 2.834 0.000
Ni 0.000 2.127 1.221
Ni 2.005 0.712 1.221
Ni 0.000 0.000 4.906
Ni 2.000 4.961 6.137
Ni 4.005 3.545 6.137
Ni 0.000 0.000 0.000
Ni 1.997 4.957 1.221
Ni 4.002 3.541 1.221

---

8
Lattice="-4.056 -3.831 0.854 3.673 -4.137 -1.116 1.597 3.734 5.686" Properties=species:S:1:pos:R:3 comment="Zn2PBr | the Alexandria database | GGA-PBEsol | relaxed" total_energy_ev_per_cell=-24.863 vol_a3_per_atom=22.84 space_group="I-42d (122)" pbc="T T T"
P -1.325 -2.041 3.204
P -0.191 -3.984 -0.131
Zn 1.831 -4.370 0.820
Zn -1.511 -3.724 1.695
Zn 1.387 1.538 4.160
Zn 0.723 -1.914 4.172
Br 2.540 -2.194 2.219
Br 0.000 0.000 0.000

---

5
Lattice="-4.136 -2.089 0.597 0.053 -1.381 -4.462 2.308 -4.191 1.324" Properties=species:S:1:pos:R:3 comment="RbAgW2Au | the Alexandria database | GGA-PBEsol | relaxed" total_energy_ev_per_cell=-18.083 vol_a3_per_atom=21.67 delta_e_f_ev_per_atom=3.559 space_group="P4/mmm (123)" pbc="T T T"
Rb 0.000 0.000 0.000
Au -0.887 -3.830 -1.270
Ag 1.154 -2.095 0.662
W 0.026 -0.691 -2.231
W -2.068 -1.044 0.299

---

4
Lattice="2.787 0.000 0.000 0.000 4.504 -0.075 -1.393 -0.937 4.288" Properties=species:S:1:pos:R:3 comment="ZnCu2Au | the Alexandria database | GGA-PBEsol | relaxed" total_energy_ev_per_cell=-14.454 vol_a3_per_atom=13.41 delta_e_f_ev_per_atom=-0.070 space_group="C2/m (12)" pbc="T T T"
Zn 1.393 0.000 0.000
Au 0.000 2.252 -0.038
Cu 0.000 0.617 2.084
Cu 1.393 2.949 2.129

---

2
Lattice="4.069 0.000 0.000 2.034 3.524 0.000 2.034 1.175 3.322" Properties=species:S:1:pos:R:3 comment="CuSb | the Alexandria database | GGA-PBEsol | relaxed" total_energy_ev_per_cell=-8.134 vol_a3_per_atom=23.81 space_group="F-43m (216)" pbc="T T T"
Sb 2.034 1.175 0.831
Cu 0.000 0.000 0.000

---

10
Lattice="-2.508 -2.766 0.622 3.664 -3.650 -1.458 1.665 -0.364 5.096" Properties=species:S:1:pos:R:3 comment="Sr2MnCrO6 | the Alexandria database | GGA-PBEsol | relaxed" total_energy_ev_per_cell=-78.608 vol_a3_per_atom=10.93 space_group="P4/mmm (123)" pbc="T T T"
Sr 0.832 -0.182 2.548
Sr 1.832 -1.825 -0.729
Mn -1.254 -1.383 0.311
Cr 1.410 -3.390 2.130
O 2.664 -2.007 1.819
O 0.000 0.000 0.000
O 1.909 -4.211 0.494
O 0.911 -2.570 3.766
O 0.080 -2.388 1.222
O 2.741 -4.393 3.038

---

5
Lattice="4.087 0.000 0.000 0.000 4.087 0.000 0.000 0.000 5.175" Properties=species:S:1:pos:R:3 comment="CaFe2PPd | the Alexandria database | GGA-PBEsol | relaxed" total_energy_ev_per_cell=-30.743 vol_a3_per_atom=17.29 delta_e_f_ev_per_atom=0.213 space_group="P4/mmm (123)" pbc="T T T"
P 0.000 0.000 0.000
Ca 0.000 0.000 2.588
Fe 0.000 2.043 0.000
Fe 2.043 0.000 0.000
Pd 2.043 2.043 2.588

---

4
Lattice="2.911 0.000 0.000 0.000 4.232 0.000 -1.455 -2.116 4.024" Properties=species:S:1:pos:R:3 comment="Co2SiAu | the Alexandria database | GGA-PBEsol | relaxed" total_energy_ev_per_cell=-25.275 vol_a3_per_atom=12.39 space_group="Immm (71)" pbc="T T T"
Au 0.000 2.116 0.000
Co 1.455 2.116 2.273
Co 0.000 0.000 1.751
Si 1.455 0.000 0.000

---

23
Lattice="-1.594 -0.894 7.467 -5.842 -2.696 -4.208 6.409 -3.875 -1.734" Properties=species:S:1:pos:R:3 comment="Pd16S7 | the Alexandria database | GGA-PBEsol | relaxed" total_energy_ev_per_cell=-133.096 vol_a3_per_atom=15.21 space_group="I-43m (217)" pbc="T T T"
Pd -1.839 -2.537 -2.894
Pd 1.158 -4.049 0.203
Pd -2.377 -1.190 3.335
Pd -0.113 -5.250 -1.944
Pd 3.361 -2.491 0.829
Pd -0.367 -0.206 1.720
Pd -1.345 -0.621 -0.969
Pd -0.790 -5.746 1.174
Pd 1.476 -0.892 -0.399
Pd 2.311 -2.936 -2.056
Pd -0.819 -3.313 2.477
Pd -3.816 -1.800 -0.620
Pd -3.428 -4.016 1.867
Pd -1.869 -3.758 -0.408
Pd 1.647 -4.504 2.891
Pd 0.650 -1.481 3.946
S 2.408 -2.385 2.867
S 0.284 -3.285 -2.971
S -3.718 -1.795 1.630
S 4.425 -2.675 -1.197
S -0.318 -2.311 0.472
S -4.033 -1.861 -2.905
S -1.100 -0.617 5.155